[1]
First-principles (PBE) data for a relaxed BC crystal, as listed in the Alexandria database.

Results
Crystal system: orthorhombic
Density of states at the Fermi level: 3.15 states/eV per cell
Spin magnetization: 0.00 μB/f.u.
Distance to the lowest polymorph of the same formula: 38.9 kJ/mol of atoms
DFT formation energy: 53.5 kJ per mole of atoms

a b c (Å): 2.500 3.888 8.328
angles (deg): 90.00 90.00 90.00
Fractional coordinates of all 12 atoms:
B  0.500  0.538  0.167
B  0.000  0.212  0.167
B  0.000  0.044  0.979
B  0.500  0.706  0.979
B  0.000  0.044  0.355
B  0.500  0.706  0.355
C  0.500  0.492  0.519
C  0.000  0.258  0.519
C  0.500  0.492  0.814
C  0.000  0.258  0.814
C  0.000  0.994  0.667
C  0.500  0.756  0.667

---

[2]
First-principles (PBE) data for a relaxed BC crystal, as listed in the Alexandria database.

Results
Crystal system: monoclinic
Density of states at the Fermi level: 1.39 states/eV per cell
Spin magnetization: 0.00 μB/f.u.
Distance to the lowest polymorph of the same formula: 20.8 kJ/mol of atoms
DFT formation energy: 35.4 kJ per mole of atoms

a b c (Å): 4.558 4.558 8.199
angles (deg): 119.43 119.43 32.86
Fractional coordinates of all 12 atoms:
B  0.639  0.639  0.329
B  0.461  0.461  0.390
B  0.379  0.379  0.153
B  0.211  0.211  0.225
B  0.998  0.998  0.967
B  0.321  0.321  0.680
C  0.848  0.848  0.018
C  0.669  0.669  0.834
C  0.520  0.520  0.874
C  0.156  0.156  0.714
C  0.980  0.980  0.526
C  0.817  0.817  0.542

---

[3]
First-principles (PBE) data for a relaxed BC crystal, as listed in the Alexandria database.

Results
Crystal system: trigonal
Density of states at the Fermi level: 1.45 states/eV per cell
Spin magnetization: 0.00 μB/f.u.
Distance to the lowest polymorph of the same formula: 32.3 kJ/mol of atoms
DFT formation energy: 46.9 kJ per mole of atoms

a b c (Å): 2.537 2.537 14.419
angles (deg): 90.00 90.00 120.00
Fractional coordinates of all 12 atoms:
B  0.667  0.333  0.859
B  0.333  0.667  0.663
B  0.667  0.333  0.742
B  0.000  0.000  0.349
B  0.000  0.000  0.467
B  0.333  0.667  0.545
C  0.000  0.000  0.910
C  0.667  0.333  0.299
C  0.333  0.667  0.157
C  0.667  0.333  0.195
C  0.000  0.000  0.014
C  0.333  0.667  0.051

---

[4]
First-principles (PBE) data for a relaxed BC crystal, as listed in the Alexandria database.

Results
Crystal system: monoclinic
Density of states at the Fermi level: 2.18 states/eV per cell
Spin magnetization: 0.00 μB/f.u.
Distance to the lowest polymorph of the same formula: 28.6 kJ/mol of atoms
DFT formation energy: 43.1 kJ per mole of atoms

a b c (Å): 4.720 4.720 4.315
angles (deg): 97.21 97.21 119.39
Fractional coordinates of all 12 atoms:
B  0.199  0.878  0.543
B  0.997  0.676  0.082
B  0.545  0.532  0.543
B  0.343  0.330  0.082
B  0.370  0.703  0.016
B  0.172  0.505  0.609
C  0.828  0.161  0.494
C  0.714  0.047  0.131
C  0.664  0.316  0.000
C  0.559  0.211  0.625
C  0.983  0.997  0.000
C  0.878  0.892  0.625

---

[5]
First-principles (PBE) data for a relaxed B3C crystal, as listed in the Alexandria database.

Results
Crystal system: monoclinic
Density of states at the Fermi level: 1.15 states/eV per cell
Spin magnetization: 0.00 μB/f.u.
Distance to the lowest polymorph of the same formula: 8.8 kJ/mol of atoms
DFT formation energy: 32.0 kJ per mole of atoms

a b c (Å): 4.421 4.421 9.091
angles (deg): 53.51 53.51 36.82
Fractional coordinates of all 12 atoms:
B  0.434  0.434  0.281
B  0.572  0.572  0.397
B  0.707  0.707  0.144
B  0.846  0.846  0.226
B  0.964  0.964  0.979
B  0.091  0.091  0.084
B  0.258  0.258  0.821
B  0.344  0.344  0.969
B  0.724  0.724  0.603
C  0.819  0.819  0.710
C  0.034  0.034  0.508
C  0.207  0.207  0.529

---

[6]
First-principles (PBE) data for a relaxed B7C5 crystal, as listed in the Alexandria database.

Results
Crystal system: monoclinic
Density of states at the Fermi level: 2.20 states/eV per cell
Spin magnetization: 0.00 μB/f.u.
Distance to the lowest polymorph of the same formula: 23.8 kJ/mol of atoms
DFT formation energy: 39.6 kJ per mole of atoms

a b c (Å): 4.738 4.738 7.932
angles (deg): 109.65 109.65 33.45
Fractional coordinates of all 12 atoms:
B  0.624  0.624  0.274
B  0.537  0.537  0.438
B  0.281  0.281  0.100
B  0.995  0.995  0.017
B  0.514  0.514  0.855
B  0.343  0.343  0.666
B  0.155  0.155  0.723
C  0.155  0.155  0.197
C  0.821  0.821  0.023
C  0.685  0.685  0.835
C  0.004  0.004  0.516
C  0.885  0.885  0.605